A plane-wave DFT calculation with GGA-PBE was carried out for crystalline CrAsCl2 at its relaxed geometry.

## Properties
The value obtained for the total energy is -4.49 eV per atom. The calculation puts the formation energy without anion corrections at 0.2 kJ per mole of atoms. For the polymorph energy (0 for the lowest one), the calculation gives 0.5126 eV per atom.

Geometry as CIF:
```
data_CrAsCl2
_space_group_name_H-M_alt 'P 4/m m m'
_space_group_IT_number 123
_space_group_name_Hall '-P 4 2'
_cell_length_a 3.0385
_cell_length_b 3.0385
_cell_length_c 11.4089
_cell_angle_alpha 90.00
_cell_angle_beta 90.00
_cell_angle_gamma 90.00
loop_
_atom_site_label
_atom_site_fract_x
_atom_site_fract_y
_atom_site_fract_z
Cr1 0.0000 0.0000 0.0000
As1 0.0000 0.0000 0.5000
Cl1 0.5000 0.5000 0.1335
```

A plane-wave DFT calculation with GGA-PBE was carried out for crystalline CrAsCl2 at its relaxed geometry.

## Properties
The value obtained for the total energy is -3.69 eV per atom. The calculation puts the formation energy without anion corrections at 76.9 kJ per mole of atoms. For the polymorph energy (0 for the lowest one), the calculation gives 1.3074 eV per atom.

Geometry as CIF:
```
data_CrAsCl2
_space_group_name_H-M_alt 'F m -3 m'
_space_group_IT_number 225
_space_group_name_Hall '-F 4 2 3'
_cell_length_a 6.4167
_cell_length_b 6.4167
_cell_length_c 6.4167
_cell_angle_alpha 90.00
_cell_angle_beta 90.00
_cell_angle_gamma 90.00
loop_
_atom_site_label
_atom_site_fract_x
_atom_site_fract_y
_atom_site_fract_z
Cr1 0.0000 0.0000 0.0000
As1 0.0000 0.0000 0.5000
Cl1 0.2500 0.2500 0.2500
```

A plane-wave DFT calculation with GGA-PBE was carried out for crystalline CrAsCl2 at its relaxed geometry.

## Properties
The value obtained for the total energy is -4.12 eV per atom. The calculation puts the formation energy without anion corrections at 35.4 kJ per mole of atoms. For the polymorph energy (0 for the lowest one), the calculation gives 0.8778 eV per atom.

Geometry as CIF:
```
data_CrAsCl2
_space_group_name_H-M_alt 'F -4 3 m'
_space_group_IT_number 216
_space_group_name_Hall 'F -4 2 3'
_cell_length_a 6.6914
_cell_length_b 6.6914
_cell_length_c 6.6914
_cell_angle_alpha 90.00
_cell_angle_beta 90.00
_cell_angle_gamma 90.00
loop_
_atom_site_label
_atom_site_fract_x
_atom_site_fract_y
_atom_site_fract_z
Cr1 0.0000 0.0000 0.0000
As1 0.2500 0.2500 0.2500
Cl1 0.0000 0.0000 0.5000
Cl2 0.2500 0.2500 0.7500
```

A plane-wave DFT calculation with GGA-PBE was carried out for crystalline Cr2AsCl at its relaxed geometry.

## Properties
The value obtained for the total energy is -6.53 eV per atom. The calculation puts the formation energy without anion corrections at -9.3 kJ per mole of atoms. For the polymorph energy (0 for the lowest one), the calculation gives 0.0242 eV per atom.

Geometry as CIF:
```
data_Cr2AsCl
_space_group_name_H-M_alt 'R -3 m'
_space_group_IT_number 166
_space_group_name_Hall '-R 3 2"'
_cell_length_a 3.7258
_cell_length_b 3.7258
_cell_length_c 18.9937
_cell_angle_alpha 90.00
_cell_angle_beta 90.00
_cell_angle_gamma 120.00
loop_
_atom_site_label
_atom_site_fract_x
_atom_site_fract_y
_atom_site_fract_z
Cr1 0.0000 0.0000 0.2391
As1 0.0000 0.0000 0.5000
Cl1 0.0000 0.0000 0.0000
```

A plane-wave DFT calculation with GGA-PBE was carried out for crystalline CrAsCl at its relaxed geometry.

## Properties
The value obtained for the total energy is -5.50 eV per atom. The calculation puts the formation energy without anion corrections at -12.2 kJ per mole of atoms. For the polymorph energy (0 for the lowest one), the calculation gives 0.1273 eV per atom.

Geometry as CIF:
```
data_CrAsCl
_space_group_name_H-M_alt 'F m m 2'
_space_group_IT_number 42
_space_group_name_Hall 'F 2 -2'
_cell_length_a 3.8053
_cell_length_b 4.8635
_cell_length_c 14.1713
_cell_angle_alpha 90.00
_cell_angle_beta 90.00
_cell_angle_gamma 90.00
loop_
_atom_site_label
_atom_site_fract_x
_atom_site_fract_y
_atom_site_fract_z
Cr1 0.0000 0.0000 0.0000
As1 0.0000 0.0000 0.6176
Cl1 0.0000 0.0000 0.3874
```

A plane-wave DFT calculation with GGA-PBE was carried out for crystalline CrAsCl2 at its relaxed geometry.

## Properties
The value obtained for the total energy is -4.46 eV per atom. The calculation puts the formation energy without anion corrections at 3.2 kJ per mole of atoms. For the polymorph energy (0 for the lowest one), the calculation gives 0.5441 eV per atom.

Geometry as CIF:
```
data_CrAsCl2
_space_group_name_H-M_alt 'C m m m'
_space_group_IT_number 65
_space_group_name_Hall '-C 2 2'
_cell_length_a 6.1055
_cell_length_b 6.5856
_cell_length_c 4.1231
_cell_angle_alpha 90.00
_cell_angle_beta 90.00
_cell_angle_gamma 90.00
loop_
_atom_site_label
_atom_site_fract_x
_atom_site_fract_y
_atom_site_fract_z
Cr1 0.0000 0.0000 0.0000
As1 0.0000 0.5000 0.0000
Cl1 0.0000 0.2351 0.5000
```

A plane-wave DFT calculation with GGA-PBE was carried out for crystalline CrAs4Cl at its relaxed geometry.

## Properties
The value obtained for the total energy is -4.65 eV per atom. The calculation puts the formation energy without anion corrections at 34.5 kJ per mole of atoms.

Geometry as CIF:
```
data_CrAs4Cl
_space_group_name_H-M_alt 'F -4 3 m'
_space_group_IT_number 216
_space_group_name_Hall 'F -4 2 3'
_cell_length_a 8.2196
_cell_length_b 8.2196
_cell_length_c 8.2196
_cell_angle_alpha 90.00
_cell_angle_beta 90.00
_cell_angle_gamma 90.00
loop_
_atom_site_label
_atom_site_fract_x
_atom_site_fract_y
_atom_site_fract_z
Cr1 0.0000 0.0000 0.0000
As1 0.1077 0.1077 0.6077
Cl1 0.2500 0.2500 0.2500
```

A plane-wave DFT calculation with GGA-PBE was carried out for crystalline CrAsCl2 at its relaxed geometry.

## Properties
The value obtained for the total energy is -4.76 eV per atom. The calculation puts the formation energy without anion corrections at -25.9 kJ per mole of atoms. For the polymorph energy (0 for the lowest one), the calculation gives 0.2425 eV per atom.

Geometry as CIF:
```
data_CrAsCl2
_space_group_name_H-M_alt 'I m m 2'
_space_group_IT_number 44
_space_group_name_Hall 'I 2 -2'
_cell_length_a 3.2270
_cell_length_b 4.9426
_cell_length_c 14.0095
_cell_angle_alpha 90.00
_cell_angle_beta 90.00
_cell_angle_gamma 90.00
loop_
_atom_site_label
_atom_site_fract_x
_atom_site_fract_y
_atom_site_fract_z
Cr1 0.0000 0.0000 0.0000
As1 0.0000 0.5000 0.6486
Cl1 0.0000 0.0000 0.6019
Cl2 0.0000 0.5000 0.3821
```

A plane-wave DFT calculation with GGA-PBE was carried out for crystalline Cr2AsCl at its relaxed geometry.

## Properties
The value obtained for the total energy is -6.45 eV per atom. The calculation puts the formation energy without anion corrections at -1.6 kJ per mole of atoms. For the polymorph energy (0 for the lowest one), the calculation gives 0.1045 eV per atom.

Geometry as CIF:
```
data_Cr2AsCl
_space_group_name_H-M_alt 'P 4/m m m'
_space_group_IT_number 123
_space_group_name_Hall '-P 4 2'
_cell_length_a 3.7323
_cell_length_b 3.7323
_cell_length_c 5.2943
_cell_angle_alpha 90.00
_cell_angle_beta 90.00
_cell_angle_gamma 90.00
loop_
_atom_site_label
_atom_site_fract_x
_atom_site_fract_y
_atom_site_fract_z
Cr1 0.0000 0.0000 0.0000
Cr2 0.5000 0.5000 0.5000
As1 0.0000 0.0000 0.5000
Cl1 0.5000 0.5000 0.0000
```

A plane-wave DFT calculation with GGA-PBE was carried out for crystalline CrAsCl2 at its relaxed geometry.

## Properties
The value obtained for the total energy is -4.43 eV per atom. The calculation puts the formation energy without anion corrections at 6.4 kJ per mole of atoms. For the polymorph energy (0 for the lowest one), the calculation gives 0.5770 eV per atom.

Geometry as CIF:
```
data_CrAsCl2
_space_group_name_H-M_alt 'P m m m'
_space_group_IT_number 47
_space_group_name_Hall '-P 2 2'
_cell_length_a 3.2110
_cell_length_b 4.2581
_cell_length_c 5.7509
_cell_angle_alpha 90.00
_cell_angle_beta 90.00
_cell_angle_gamma 90.00
loop_
_atom_site_label
_atom_site_fract_x
_atom_site_fract_y
_atom_site_fract_z
Cr1 0.0000 0.0000 0.0000
As1 0.5000 0.0000 0.5000
Cl1 0.0000 0.5000 0.5000
Cl2 0.5000 0.5000 0.0000
```

A plane-wave DFT calculation with GGA-PBE was carried out for crystalline CrAsCl2 at its relaxed geometry.

## Properties
The value obtained for the total energy is -4.85 eV per atom. The calculation puts the formation energy without anion corrections at -34.6 kJ per mole of atoms. For the polymorph energy (0 for the lowest one), the calculation gives 0.1519 eV per atom.

Geometry as CIF:
```
data_CrAsCl2
_space_group_name_H-M_alt 'P 4 m m'
_space_group_IT_number 99
_space_group_name_Hall 'P 4 -2'
_cell_length_a 3.6405
_cell_length_b 3.6405
_cell_length_c 7.8588
_cell_angle_alpha 90.00
_cell_angle_beta 90.00
_cell_angle_gamma 90.00
loop_
_atom_site_label
_atom_site_fract_x
_atom_site_fract_y
_atom_site_fract_z
Cr1 0.0000 0.0000 0.0000
As1 0.5000 0.5000 0.9637
Cl1 0.0000 0.0000 0.2760
Cl2 0.5000 0.5000 0.6794
```

A plane-wave DFT calculation with GGA-PBE was carried out for crystalline CrAsCl2 at its relaxed geometry.

## Properties
The value obtained for the total energy is -4.47 eV per atom. The calculation puts the formation energy without anion corrections at 2.3 kJ per mole of atoms. For the polymorph energy (0 for the lowest one), the calculation gives 0.5346 eV per atom.

Geometry as CIF:
```
data_CrAsCl2
_space_group_name_H-M_alt 'F m m m'
_space_group_IT_number 69
_space_group_name_Hall '-F 2 2'
_cell_length_a 6.1115
_cell_length_b 6.6245
_cell_length_c 8.2091
_cell_angle_alpha 90.00
_cell_angle_beta 90.00
_cell_angle_gamma 90.00
loop_
_atom_site_label
_atom_site_fract_x
_atom_site_fract_y
_atom_site_fract_z
Cr1 0.0000 0.0000 0.0000
As1 0.0000 0.0000 0.5000
Cl1 0.0000 0.2500 0.2500
```